Computed, not measured: an optimized crystal structure of In5Bi2Pb12 at the GGA-PBE level of DFT.

abc: 9.0070 9.0070 8.2917
angles: 100.30 100.30 66.32
Last column: nearest neighbours and their distance in Å.
Positions (direct):
In  0.0000  0.0000  0.0000  6 Pb 3.19-3.24, 2 In 3.31
In  0.2220  0.2220  0.0240  2 In 3.14-3.31, 6 Pb 3.26-3.41
In  0.3442  0.3442  0.3814  1 In 3.14, 4 Pb 3.25-3.47, 2 Bi 3.37
In  0.6558  0.6558  0.6186  1 In 3.14, 4 Pb 3.25-3.47, 2 Bi 3.37
In  0.7780  0.7780  0.9760  2 In 3.14-3.31, 6 Pb 3.26-3.41
Bi  0.2537  0.7463  0.5000  6 Pb 3.33-3.55, 2 In 3.37
Bi  0.7463  0.2537  0.5000  6 Pb 3.33-3.55, 2 In 3.37
Pb  0.0649  0.4237  0.6840  6 Pb 3.37-3.58, 3 In 3.41-3.65, 1 Bi 3.75
Pb  0.1132  0.1132  0.3722  2 In 3.19-3.47, 2 Bi 3.33, 2 Pb 3.40
Pb  0.1731  0.6221  0.0736  4 In 3.24-3.60, 5 Pb 3.32-3.58, 1 Bi 3.55
Pb  0.3779  0.8269  0.9264  4 In 3.24-3.60, 5 Pb 3.32-3.58, 1 Bi 3.55
Pb  0.4237  0.0649  0.6840  6 Pb 3.37-3.58, 3 In 3.41-3.65, 1 Bi 3.75
Pb  0.4426  0.4426  0.7706  1 In 3.25, 6 Pb 3.32-3.52, 2 Bi 3.54
Pb  0.5574  0.5574  0.2294  1 In 3.25, 6 Pb 3.32-3.52, 2 Bi 3.54
Pb  0.5763  0.9351  0.3160  6 Pb 3.37-3.58, 3 In 3.41-3.65, 1 Bi 3.75
Pb  0.6221  0.1731  0.0736  4 In 3.24-3.60, 5 Pb 3.32-3.58, 1 Bi 3.55
Pb  0.8269  0.3779  0.9264  4 In 3.24-3.60, 5 Pb 3.32-3.58, 1 Bi 3.55
Pb  0.8868  0.8868  0.6278  2 In 3.19-3.47, 2 Bi 3.33, 2 Pb 3.40
Pb  0.9351  0.5763  0.3160  6 Pb 3.37-3.58, 3 In 3.41-3.65, 1 Bi 3.75

Calculated values
DFT total energy	-64.795	eV per cell
magnetization	0.0	μB per cell
relative energy among the computed polymorphs	5.7	meV/atom
space group	No. 12

Computed, not measured: an optimized crystal structure of In4BiPb at the GGA-PBE level of DFT.

abc: 6.2973 6.2973 6.2973
angles: 60.00 60.00 60.00
Last column: nearest neighbours and their distance in Å.
Positions (direct):
In  0.1251  0.1251  0.1251  6 In 3.15
In  0.1251  0.1251  0.6246  6 In 3.15
In  0.1251  0.6246  0.1251  6 In 3.15
In  0.6246  0.1251  0.1251  6 In 3.15
Bi  0.7500  0.7500  0.7500  12 In 3.69, 4 Pb 3.86
Pb  0.5000  0.5000  0.5000  12 In 3.69, 4 Bi 3.86

Calculated values
DFT total energy	-17.915	eV per cell
magnetization	0.0	μB per cell
relative energy among the computed polymorphs	84.6	meV/atom
space group	No. 216

Computed, not measured: an optimized crystal structure of In6Bi3Pb2 at the GGA-PBE level of DFT.

abc: 31.3195 31.3195 31.3195
angles: 6.36 6.36 6.36
Last column: nearest neighbours and their distance in Å.
Positions (direct):
In  0.0920  0.0920  0.0920  3 Bi 3.43, 6 In 3.48, 3 Pb 3.48
In  0.1808  0.1808  0.1808  9 In 3.32-3.48, 3 Pb 3.48
In  0.3641  0.3641  0.3641  6 In 3.48, 6 Bi 3.51-3.57
In  0.6359  0.6359  0.6359  6 In 3.48, 6 Bi 3.51-3.57
In  0.8192  0.8192  0.8192  9 In 3.32-3.48, 3 Pb 3.48
In  0.9080  0.9080  0.9080  3 Bi 3.43, 6 In 3.48, 3 Pb 3.48
Bi  0.0000  0.0000  0.0000  6 Bi 3.48, 6 In 3.51
Bi  0.2711  0.2711  0.2711  6 In 3.43-3.57, 6 Bi 3.48
Bi  0.7289  0.7289  0.7289  6 In 3.43-3.57, 6 Bi 3.48
Pb  0.4556  0.4556  0.4556  6 Pb 3.48, 6 In 3.48
Pb  0.5444  0.5444  0.5444  6 Pb 3.48, 6 In 3.48

Calculated values
DFT total energy	-35.024	eV per cell
magnetization	0.0	μB per cell
space group	No. 166

Computed, not measured: an optimized crystal structure of In12Bi5Pb2 at the GGA-PBE level of DFT.

abc: 9.9891 9.9891 6.0828
angles: 98.49 98.49 71.68
Last column: nearest neighbours and their distance in Å.
Positions (direct):
In  0.0474  0.5471  0.8010  4 In 3.09-3.38, 1 Pb 3.29, 2 Bi 3.29-3.41
In  0.0536  0.0536  0.2806  2 Pb 3.31, 4 In 3.41-3.54, 2 Bi 3.58-3.62
In  0.1454  0.6562  0.4154  4 In 3.12-3.41, 1 Pb 3.23, 2 Bi 3.39-3.40
In  0.3438  0.8546  0.5846  4 In 3.12-3.41, 1 Pb 3.23, 2 Bi 3.39-3.40
In  0.3978  0.3978  0.9430  3 In 3.26-3.38, 5 Bi 3.32-3.63, 2 Pb 3.46
In  0.4529  0.9526  0.1990  4 In 3.09-3.38, 1 Pb 3.29, 2 Bi 3.29-3.41
In  0.5471  0.0474  0.8010  4 In 3.09-3.38, 1 Pb 3.29, 2 Bi 3.29-3.41
In  0.6022  0.6022  0.0570  3 In 3.26-3.38, 5 Bi 3.32-3.63, 2 Pb 3.46
In  0.6562  0.1454  0.4154  4 In 3.12-3.41, 1 Pb 3.23, 2 Bi 3.39-3.40
In  0.8546  0.3438  0.5846  4 In 3.12-3.41, 1 Pb 3.23, 2 Bi 3.39-3.40
In  0.9464  0.9464  0.7194  2 Pb 3.31, 4 In 3.41-3.54, 2 Bi 3.58-3.62
In  0.9526  0.4529  0.1990  4 In 3.09-3.38, 1 Pb 3.29, 2 Bi 3.29-3.41
Bi  0.1896  0.1896  0.8161  2 Bi 3.30-3.45, 6 In 3.32-3.58
Bi  0.2810  0.2810  0.3741  7 In 3.29-3.63, 3 Bi 3.30-3.49
Bi  0.5000  0.5000  0.5000  8 In 3.39-3.49, 2 Bi 3.49
Bi  0.7190  0.7190  0.6259  7 In 3.29-3.63, 3 Bi 3.30-3.49
Bi  0.8104  0.8104  0.1839  2 Bi 3.30-3.45, 6 In 3.32-3.58
Pb  0.2390  0.7610  0.0000  8 In 3.23-3.46
Pb  0.7610  0.2390  0.0000  8 In 3.23-3.46

Calculated values
DFT total energy	-58.674	eV per cell
magnetization	0.0	μB per cell
space group	No. 12

Computed, not measured: an optimized crystal structure of In2Bi2Pb3 at the GGA-PBE level of DFT.

abc: 13.4158 13.4158 3.7461
angles: 90.00 90.00 161.09
Last column: nearest neighbours and their distance in Å.
Positions (direct):
In  0.2075  0.7925  0.0000  2 In 3.15, 4 Bi 3.34
In  0.7925  0.2075  0.0000  2 In 3.15, 4 Bi 3.34
Bi  0.3555  0.6445  0.5000  4 In 3.34, 4 Pb 3.46
Bi  0.6445  0.3555  0.5000  4 In 3.34, 4 Pb 3.46
Pb  0.0730  0.9270  0.0000  4 Bi 3.46, 7 Pb 3.48-3.86, 1 In 3.56
Pb  0.5000  0.5000  0.5000  10 Pb 3.48-3.75, 2 Bi 3.82
Pb  0.9270  0.0730  0.0000  4 Bi 3.46, 7 Pb 3.48-3.86, 1 In 3.56

Calculated values
DFT total energy	-23.989	eV per cell
magnetization	0.0	μB per cell
relative energy among the computed polymorphs	0.0	meV/atom
space group	No. 65

Computed, not measured: an optimized crystal structure of In5Bi4Pb at the GGA-PBE level of DFT.

abc: 3.5253 3.5253 24.0153
angles: 90.00 90.00 90.00
Last column: nearest neighbours and their distance in Å.
Positions (direct):
In  0.0000  0.0000  0.0000  8 Bi 3.47, 4 In 3.53
In  0.0000  0.0000  0.2011  8 Bi 3.47-3.51, 4 In 3.53
In  0.0000  0.0000  0.4011  4 Bi 3.42, 4 Pb 3.44, 4 In 3.53
In  0.0000  0.0000  0.5989  4 Bi 3.42, 4 Pb 3.44, 4 In 3.53
In  0.0000  0.0000  0.7989  8 Bi 3.47-3.51, 4 In 3.53
Bi  0.5000  0.5000  0.1004  8 In 3.47, 4 Bi 3.53
Bi  0.5000  0.5000  0.3038  8 In 3.42-3.51, 4 Bi 3.53
Bi  0.5000  0.5000  0.6962  8 In 3.42-3.51, 4 Bi 3.53
Bi  0.5000  0.5000  0.8996  8 In 3.47, 4 Bi 3.53
Pb  0.5000  0.5000  0.5000  8 In 3.44, 4 Pb 3.53

Calculated values
DFT total energy	-32.557	eV per cell
magnetization	0.0	μB per cell
space group	No. 123

Computed, not measured: an optimized crystal structure of In2Bi2Pb7 at the GGA-PBE level of DFT.

abc: 7.9468 7.9468 6.3966
angles: 107.58 107.58 94.13
Last column: nearest neighbours and their distance in Å.
Positions (direct):
In  0.1761  0.8239  0.0000  4 Pb 3.35-3.47, 2 Bi 3.43
In  0.8239  0.1761  0.0000  4 Pb 3.35-3.47, 2 Bi 3.43
Bi  0.2656  0.2656  0.0513  8 Pb 3.29-3.61, 2 In 3.43
Bi  0.7344  0.7344  0.9487  8 Pb 3.29-3.61, 2 In 3.43
Pb  0.0000  0.0000  0.5000  4 Pb 3.34, 2 Bi 3.42
Pb  0.0751  0.5805  0.3291  4 Pb 3.30-3.51, 2 In 3.35-3.47, 2 Bi 3.35-3.61
Pb  0.3848  0.3848  0.6595  3 Bi 3.29-3.51, 2 Pb 3.51
Pb  0.4195  0.9249  0.6709  4 Pb 3.30-3.51, 2 In 3.35-3.47, 2 Bi 3.35-3.61
Pb  0.5805  0.0751  0.3291  4 Pb 3.30-3.51, 2 In 3.35-3.47, 2 Bi 3.35-3.61
Pb  0.6152  0.6152  0.3405  3 Bi 3.29-3.51, 2 Pb 3.51
Pb  0.9249  0.4195  0.6709  4 Pb 3.30-3.51, 2 In 3.35-3.47, 2 Bi 3.35-3.61

Calculated values
DFT total energy	-38.425	eV per cell
magnetization	0.0	μB per cell
relative energy among the computed polymorphs	0.0	meV/atom
space group	No. 12

Computed, not measured: an optimized crystal structure of In2BiPb2 at the GGA-PBE level of DFT.

abc: 9.2690 9.2690 9.2690
angles: 154.19 154.19 36.83
Last column: nearest neighbours and their distance in Å.
Positions (direct):
In  0.0953  0.0953  0.0000  1 In 3.35, 4 Bi 3.37, 5 Pb 3.43-3.64
In  0.9047  0.9047  0.0000  1 In 3.35, 4 Bi 3.37, 5 Pb 3.43-3.64
Bi  0.5000  0.5000  0.0000  8 In 3.37, 2 Pb 3.47
Pb  0.3025  0.3025  0.0000  5 In 3.43-3.64, 4 Pb 3.46, 1 Bi 3.47
Pb  0.6975  0.6975  0.0000  5 In 3.43-3.64, 4 Pb 3.46, 1 Bi 3.47

Calculated values
DFT total energy	-16.579	eV per cell
magnetization	0.0	μB per cell
relative energy among the computed polymorphs	0.0	meV/atom
space group	No. 139

Computed, not measured: an optimized crystal structure of In2BiPb2 at the GGA-PBE level of DFT.

abc: 9.2410 9.2410 3.5887
angles: 90.00 90.00 90.00
Last column: nearest neighbours and their distance in Å.
Positions (direct):
In  0.1506  0.3494  0.0000  6 Pb 3.18-3.29
In  0.3494  0.8494  0.0000  6 Pb 3.18-3.29
In  0.6506  0.1506  0.0000  6 Pb 3.18-3.29
In  0.8494  0.6506  0.0000  6 Pb 3.18-3.29
Bi  0.0000  0.0000  0.5000  4 Pb 3.53, 2 Bi 3.59, 8 In 3.95
Bi  0.5000  0.5000  0.5000  4 Pb 3.53, 2 Bi 3.59, 8 In 3.95
Pb  0.1483  0.6483  0.5000  6 In 3.18-3.29, 2 Bi 3.53
Pb  0.3517  0.1483  0.5000  6 In 3.18-3.29, 2 Bi 3.53
Pb  0.6483  0.8517  0.5000  6 In 3.18-3.29, 2 Bi 3.53
Pb  0.8517  0.3517  0.5000  6 In 3.18-3.29, 2 Bi 3.53

Calculated values
DFT total energy	-32.710	eV per cell
magnetization	0.0	μB per cell
relative energy among the computed polymorphs	44.8	meV/atom
space group	No. 127

Computed, not measured: an optimized crystal structure of In10BiPb4 at the GGA-PBE level of DFT.

abc: 8.5823 8.5823 8.5823
angles: 108.60 108.60 111.22
Last column: nearest neighbours and their distance in Å.
Positions (direct):
In  0.0057  0.1156  0.6844  4 In 3.07-3.35, 1 Bi 3.18, 3 Pb 3.29-3.37
In  0.1156  0.4312  0.1099  4 In 3.07-3.35, 1 Bi 3.18, 3 Pb 3.29-3.37
In  0.2500  0.7500  0.5000  4 In 3.07
In  0.3213  0.0057  0.8901  4 In 3.07-3.35, 1 Bi 3.18, 3 Pb 3.29-3.37
In  0.4312  0.3213  0.3156  4 In 3.07-3.35, 1 Bi 3.18, 3 Pb 3.29-3.37
In  0.5688  0.6787  0.6844  4 In 3.07-3.35, 1 Bi 3.18, 3 Pb 3.29-3.37
In  0.6787  0.9943  0.1099  4 In 3.07-3.35, 1 Bi 3.18, 3 Pb 3.29-3.37
In  0.7500  0.2500  0.5000  4 In 3.07
In  0.8844  0.5688  0.8901  4 In 3.07-3.35, 1 Bi 3.18, 3 Pb 3.29-3.37
In  0.9943  0.8844  0.3156  4 In 3.07-3.35, 1 Bi 3.18, 3 Pb 3.29-3.37
Bi  0.0000  0.0000  0.0000  8 In 3.18
Pb  0.2524  0.5776  0.8299  8 In 3.29-3.59, 2 Pb 3.68
Pb  0.4224  0.2524  0.6748  8 In 3.29-3.59, 2 Pb 3.68
Pb  0.5776  0.7476  0.3252  8 In 3.29-3.59, 2 Pb 3.68
Pb  0.7476  0.4224  0.1701  8 In 3.29-3.59, 2 Pb 3.68

Calculated values
DFT total energy	-44.484	eV per cell
magnetization	0.0	μB per cell
space group	No. 87